First-principles (SCAN) data for ScCdMo2 at its PBEsol-relaxed geometry, as listed in the Alexandria database.

Geometry as POSCAR:
```
ScCdMo2
1.0
3.440 0.000 0.000
0.000 4.326 0.000
0.000 0.000 4.600
Sc Cd Mo
1 1 2
Direct
0.000 0.000 0.000
0.500 0.500 0.000
0.000 0.500 0.500
0.500 0.000 0.500
```

As for the formation energy: 0.17 eV per atom.


First-principles (SCAN) data for HfBeI2 at its PBEsol-relaxed geometry, as listed in the Alexandria database.

Geometry as POSCAR:
```
HfBeI2
1.0
-3.132 3.132 5.278
3.132 -3.132 5.278
3.132 3.132 -5.278
Hf Be I
2 2 4
Direct
0.000 0.000 0.000
0.750 0.250 0.500
0.250 0.750 0.500
0.500 0.500 0.000
0.180 0.625 0.055
0.375 0.430 0.555
0.570 0.125 0.945
0.875 0.820 0.445
```

The formation energy from raw total energies is 81.0 kJ/mol of atoms.


First-principles (SCAN) data for AgGeAsCl2 at its PBEsol-relaxed geometry, as listed in the Alexandria database.

Geometry as POSCAR:
```
AgGeAsCl2
1.0
4.722 0.000 0.000
0.000 4.722 0.000
0.000 0.000 5.234
Ag Ge As Cl
1 1 1 2
Direct
0.000 0.000 0.000
0.500 0.500 0.500
0.500 0.500 0.000
0.000 0.500 0.500
0.500 0.000 0.500
```

The formation energy from raw total energies is 15.8 kJ/mol of atoms.


First-principles (SCAN) data for Li2PPt at its PBEsol-relaxed geometry, as listed in the Alexandria database.

Geometry as POSCAR:
```
Li2PPt
1.0
2.726 0.000 0.000
0.000 3.884 0.000
0.000 0.000 4.855
Li P Pt
2 1 1
Direct
0.000 0.000 0.244
0.000 0.000 0.756
0.500 0.500 0.000
0.500 0.500 0.500
```

As for the formation energy: -0.66 eV per atom.


Number 1: DFT total energy -28.4308 eV per atom. Number 2: DFT total energy -34.2875 eV per atom. Number 3: DFT total energy -17.1560 eV per atom. Number 4: DFT total energy -21.9997 eV per atom.